1.
# LaSb2Mo

A relaxed LaSb2Mo crystal (PBE, Alexandria via LeMat-Bulk).

a b c (Å): 7.8541 7.8541 7.8541
angles (deg): 153.74 150.68 39.77
With the nearest neighbours (Å) after each atom.
Fractional coordinates of all 4 atoms:
Sb1 0.0691 0.0691 0.0000  2 Mo 2.70
Sb2 0.7763 0.2763 0.5000  4 Mo 2.86
Mo1 0.2065 0.7065 0.5000  6 Sb 2.70-2.86
La1 0.4481 0.4481 0.0000  6 Sb 3.21-3.22, 2 La 3.57

The formation energy from raw total energies is -0.235 eV/atom. For the electronic total energy, the calculation gives -6.2355 eV per atom. Its size of the total moment is 0.1 μB/cell. As for the space group: No. 44.

***

2.
# LiPr6Mg

A relaxed LiPr6Mg crystal (PBE, Alexandria via LeMat-Bulk).

a b c (Å): 9.4247 8.7034 6.4122
angles (deg): 47.33 42.75 57.31
With the nearest neighbours (Å) after each atom.
Fractional coordinates of all 8 atoms:
Pr1 0.2436 0.0405 0.2660  1 Li 3.21, 2 Pr 3.30-3.31, 1 Mg 3.51
Pr2 0.0398 0.4494 0.7547  1 Li 3.21, 2 Pr 3.29-3.32, 1 Mg 3.52
Pr3 0.5505 0.2437 0.1665  1 Li 3.21, 2 Pr 3.30-3.31, 1 Mg 3.52
Pr4 0.7564 0.9595 0.7340  1 Li 3.21, 2 Pr 3.30-3.31, 1 Mg 3.51
Pr5 0.9602 0.5506 0.2453  1 Li 3.21, 2 Pr 3.29-3.32, 1 Mg 3.52
Pr6 0.4495 0.7563 0.8335  1 Li 3.21, 2 Pr 3.30-3.31, 1 Mg 3.52
Li1 0.0000 0.0000 0.0000  6 Pr 3.21
Mg1 0.5000 0.5000 0.5000  12 Pr 3.51-3.70

The formation energy comes out at 98 meV/atom. For the electronic total energy, the calculation gives -3.9247 eV per atom. Its size of the total moment is 0.0 μB/cell. As for the space group: No. 2.

***

3.
# GaIrSeBr2

A relaxed GaIrSeBr2 crystal (PBE, Alexandria via LeMat-Bulk).

a b c (Å): 5.0002 5.0002 5.1268
angles (deg): 90.00 90.00 90.00
With the nearest neighbours (Å) after each atom.
Fractional coordinates of all 5 atoms:
Br1 0.0000 0.5000 0.0000  2 Ga 2.50
Br2 0.5000 0.0000 0.0000  2 Ga 2.50
Ir1 0.5000 0.5000 0.5000  4 Se 3.54, 8 Br 3.58
Se1 0.0000 0.0000 0.5000  2 Ga 2.56
Ga1 0.0000 0.0000 0.0000  4 Br 2.50, 2 Se 2.56

The formation energy from raw total energies is 0.957 eV/atom. For the electronic total energy, the calculation gives -2.7867 eV per atom. Its size of the total moment is 2.7 μB/cell. As for the space group: No. 123.

***

4.
# RuS2NF

A relaxed RuS2NF crystal (PBE, Alexandria via LeMat-Bulk).

a b c (Å): 4.3942 4.3942 3.5356
angles (deg): 90.00 90.00 90.00
With the nearest neighbours (Å) after each atom.
Fractional coordinates of all 5 atoms:
Ru1 0.5000 0.5000 0.5000  8 S 2.82, 4 N 3.11
S1 0.5000 0.0000 0.0000  2 F 2.20
S2 0.0000 0.5000 0.0000  2 F 2.20
N1 0.0000 0.0000 0.5000  2 F 1.77
F1 0.0000 0.0000 0.0000  2 N 1.77

The formation energy from raw total energies is 1.766 eV/atom. For the electronic total energy, the calculation gives -3.7795 eV per atom. Its size of the total moment is 2.2 μB/cell. As for the space group: No. 123.

***

5.
# Tl2Pb3

A relaxed Tl2Pb3 crystal (PBE, Alexandria via LeMat-Bulk).

a b c (Å): 9.3917 9.3917 6.8731
angles (deg): 46.90 46.90 60.00
With the nearest neighbours (Å) after each atom.
Fractional coordinates of all 10 atoms:
Pb1 0.9312 0.2500 0.2500  4 Tl 3.24-3.40
Pb2 0.7500 0.4312 0.7500  4 Tl 3.24-3.40
Pb3 0.0688 0.7500 0.7500  4 Tl 3.24-3.40
Pb4 0.4312 0.0688 0.7500  4 Tl 3.24-3.40
Pb5 0.5688 0.9312 0.2500  4 Tl 3.24-3.40
Pb6 0.2500 0.5688 0.2500  4 Tl 3.24-3.40
Tl1 0.1231 0.1231 0.6306  2 Tl 3.12-3.21, 6 Pb 3.24-3.40
Tl2 0.6231 0.6231 0.1306  2 Tl 3.12-3.21, 6 Pb 3.24-3.40
Tl3 0.3769 0.3769 0.8694  2 Tl 3.12-3.21, 6 Pb 3.24-3.40
Tl4 0.8769 0.8769 0.3694  2 Tl 3.12-3.21, 6 Pb 3.24-3.40

The formation energy comes out at 136 meV/atom. For the electronic total energy, the calculation gives -3.0354 eV per atom. Its size of the total moment is 0.0 μB/cell. As for the space group: No. 167.

***

6.
# ZrZn2Te

A relaxed ZrZn2Te crystal (PBE, Alexandria via LeMat-Bulk).

a b c (Å): 3.7899 3.7899 5.6612
angles (deg): 90.00 90.00 90.00
With the nearest neighbours (Å) after each atom.
Fractional coordinates of all 4 atoms:
Te1 0.5000 0.5000 0.7500  2 Zr 2.83, 8 Zn 3.07
Zn1 0.0000 0.0000 0.0160  1 Zn 2.65
Zn2 0.0000 0.0000 0.4840  1 Zn 2.65
Zr1 0.5000 0.5000 0.2500  2 Te 2.83, 8 Zn 2.99

The formation energy from raw total energies is -0.130 eV/atom. For the electronic total energy, the calculation gives -3.6899 eV per atom. Its size of the total moment is 0.0 μB/cell. As for the space group: No. 123.

***

7.
# ZrAuSe2

A relaxed ZrAuSe2 crystal (PBE, Alexandria via LeMat-Bulk).

a b c (Å): 4.9231 4.4651 3.5448
angles (deg): 90.00 90.00 90.00
With the nearest neighbours (Å) after each atom.
Fractional coordinates of all 4 atoms:
Se1 0.0000 0.0000 0.0000  4 Au 2.85, 4 Zr 3.03
Se2 0.5000 0.5000 0.0000  4 Zr 2.85, 4 Au 3.03
Au1 0.0000 0.5000 0.5000  8 Se 2.85-3.03
Zr1 0.5000 0.0000 0.5000  8 Se 2.85-3.03

The formation energy from raw total energies is -0.463 eV/atom. For the electronic total energy, the calculation gives -5.1616 eV per atom. Its size of the total moment is 0.0 μB/cell. As for the space group: No. 47.

***

8.
# UTe2ClO8

A relaxed UTe2ClO8 crystal (PBE, Alexandria via LeMat-Bulk).

a b c (Å): 6.1496 6.1496 6.7276
angles (deg): 90.00 90.00 120.00
With the nearest neighbours (Å) after each atom.
Fractional coordinates of all 12 atoms:
O1 0.3536 0.1768 0.1503  1 Te 1.89
O2 0.8232 0.1768 0.1503  1 Te 1.89
O3 0.3333 0.6667 0.4484  1 Te 1.81
O4 0.6464 0.8232 0.8497  1 Te 1.89
O5 0.6667 0.3333 0.5516  1 Te 1.81
O6 0.1768 0.8232 0.8497  1 Te 1.89
O7 0.1768 0.3536 0.8497  1 Te 1.89
O8 0.8232 0.6464 0.1503  1 Te 1.89
Cl1 0.0000 0.0000 0.5000  6 O 3.01, 2 U 3.36
U1 0.0000 0.0000 0.0000  6 O 2.14
Te1 0.3333 0.6667 0.7172  4 O 1.81-1.89
Te2 0.6667 0.3333 0.2828  4 O 1.81-1.89

The formation energy from raw total energies is -1.217 eV/atom. For the electronic total energy, the calculation gives -6.1408 eV per atom. Its size of the total moment is 0.9 μB/cell. As for the space group: No. 164.